## Mn2InFeO4 (GGA+U)

Data for a relaxed structure of Mn2InFeO4.

Cell lengths 9.0821, 9.2892, 6.4534 Å; angles 90.00, 133.90, 90.00 degrees
Last column: nearest neighbours and their distance in Å.
Space group C2/c (No. 15)
Symmetry-distinct sites (fractional):
Mn (0.0000, 0.0000, 0.0000) (multiplicity 4)  6 O 2.20-2.27
Mn (0.2500, 0.2500, 0.0000) (multiplicity 4)  6 O 2.27-2.41
In (0.0000, 0.5000, 0.0000) (multiplicity 4)  6 O 2.35-2.40
Fe (0.2500, 0.2500, 0.5000) (multiplicity 4)  6 O 2.14-2.38
O (0.0200, 0.2441, 0.5103) (multiplicity 8)  2 Fe 2.14-2.38, 2 Mn 2.27-2.28, 1 In 2.38
O (0.2339, 0.0060, 0.9844) (multiplicity 8)  3 Mn 2.20-2.27, 2 In 2.35-2.40, 1 Fe 2.38

As for the size of the total moment: 1.72 μB per atom. The calculation puts the volume at 12.26 A^3/atom. The total energy is -0.4927 Ry/atom.